1.
Sn6Sb2As3 PBE-GGA optimized geometry; formation energy (no corrections) = 1.08 eV per formula unit; mass density = 5.4 Mg/m³; crystal system = trigonal; size of the total moment = 0.00 μB/atom
1.0
4.999 0.000 0.000
-2.500 4.330 0.000
0.000 0.000 16.630
Sn Sb As
6 2 3
Cartesian
2.500 1.443 2.833 Sn
0.000 0.000 5.645 Sn
2.500 1.443 13.354 Sn
0.000 0.000 10.841 Sn
0.000 0.000 16.613 Sn
2.500 1.443 8.521 Sn
0.000 2.886 9.659 Sb
2.500 1.443 16.385 Sb
0.000 0.000 2.833 As
2.500 1.443 5.759 As
0.000 0.000 13.580 As

2.
LaEuZnCo PBE-GGA optimized geometry; ΔE_f = -0.034 eV per atom; mass density = 7.3 Mg/m³; crystal system = cubic; size of the total moment = 1.59 μB/atom
1.0
-3.783 -1.829 2.912
-3.777 -2.713 -2.123
-0.347 -5.024 0.882
Eu Zn Co La
1 1 1 1
Cartesian
-5.930 -7.174 1.253 Eu
0.000 0.000 0.000 Zn
-3.953 -4.783 0.835 Co
-1.977 -2.391 0.418 La

3.
K2Pa2Se5 PBE-GGA optimized geometry; formation energy (no corrections) = -12.72 eV per formula unit; mass density = 6.1 Mg/m³; energy above the lowest structure with this stoichiometry = 0 meV/atom; crystal system = orthorhombic; size of the total moment = 0.22 μB/atom
1.0
-7.774 1.702 0.258
-1.478 -7.209 3.026
1.635 6.561 5.969
K Pa Se
4 4 10
Cartesian
0.367 1.211 3.065 K
-4.259 -1.542 4.706 K
-0.210 -1.859 5.930 K
-3.358 2.597 4.546 K
-6.357 -4.953 2.718 Pa
-2.894 -0.553 0.565 Pa
-2.197 -4.472 2.030 Pa
-7.054 -1.034 1.253 Pa
0.000 0.000 0.000 Se
-4.626 -2.753 1.642 Se
-7.392 -2.530 3.876 Se
-1.453 -1.632 2.810 Se
-3.812 -4.881 4.376 Se
-5.032 0.719 2.310 Se
-0.225 3.585 5.377 Se
-6.164 2.686 6.443 Se
-3.805 5.935 4.876 Se
-2.585 0.335 6.943 Se

4.
CrAu2C PBE-GGA optimized geometry; ΔE_f = 0.612 eV per atom; mass density = 11.6 Mg/m³; crystal system = orthorhombic; size of the total moment = 0.30 μB/atom
1.0
-0.825 2.779 -0.414
-2.912 -0.451 2.772
3.509 1.630 3.953
Cr C Au
1 1 2
Cartesian
0.771 0.358 0.868 Cr
1.051 2.069 1.441 C
2.518 1.170 2.837 Au
-1.847 1.174 1.203 Au

5.
CaIn2IrI PBE-GGA optimized geometry; formation energy (no corrections) = -2.47 eV per formula unit; mass density = 6.4 Mg/m³; crystal system = tetragonal; size of the total moment = 0.00 μB/atom
1.0
5.212 0.000 0.000
0.000 5.212 0.000
0.000 0.000 5.618
I Ca Ir In
1 1 1 2
Cartesian
2.606 2.606 2.809 I
0.000 0.000 2.809 Ca
0.000 0.000 0.000 Ir
0.000 2.606 0.000 In
2.606 0.000 0.000 In

6.
AcPm2Ru PBE-GGA optimized geometry; ΔE_f = -0.044 eV per atom; mass density = 7.6 Mg/m³; energy above the lowest structure with this stoichiometry = 145 meV/atom; crystal system = trigonal; size of the total moment = 0.00 μB/atom
1.0
-2.134 0.774 -3.370
-0.354 -2.845 -2.879
-8.687 -3.982 2.137
Ac Pm Ru
1 2 1
Cartesian
-5.569 -3.019 -2.066 Ac
-7.431 -3.455 1.462 Pm
-2.095 -1.221 -1.403 Pm
-1.667 -1.385 -4.161 Ru

7.
RbTe2Ru PBE-GGA optimized geometry; formation energy (no corrections) = 1.65 eV per formula unit; mass density = 7.3 Mg/m³; energy above the lowest structure with this stoichiometry = 696 meV/atom; crystal system = cubic; size of the total moment = 0.00 μB/atom
1.0
-4.908 -1.495 0.937
-3.730 3.579 0.684
-3.671 0.670 -3.643
Ru Te Rb
1 2 1
Cartesian
-6.154 1.377 -1.011 Ru
-3.077 0.689 -0.505 Te
-9.232 2.066 -1.516 Te
0.000 0.000 0.000 Rb

8.
Pm12Dy2Y PBE-GGA optimized geometry; ΔE_f = 0.157 eV per atom; mass density = 6.9 Mg/m³; crystal system = orthorhombic; size of the total moment = 0.00 μB/atom
1.0
6.629 -1.553 0.000
-1.553 6.629 0.000
0.000 0.000 24.930
Pm Dy Y
24 4 2
Cartesian
2.538 2.538 19.954 Pm
0.000 0.000 19.954 Pm
3.819 3.796 23.043 Pm
0.499 4.590 21.688 Pm
0.000 0.000 8.112 Pm
0.486 4.577 3.242 Pm
4.680 0.589 14.588 Pm
2.538 2.538 8.112 Pm
1.258 1.281 23.043 Pm
3.796 3.819 1.887 Pm
1.466 1.072 13.960 Pm
4.487 0.396 10.343 Pm
0.000 0.000 16.818 Pm
1.072 1.466 10.970 Pm
1.281 1.258 1.887 Pm
4.005 3.610 10.970 Pm
3.610 4.005 13.960 Pm
0.000 0.000 4.976 Pm
0.396 4.487 14.588 Pm
2.538 2.538 16.818 Pm
4.577 0.486 21.688 Pm
2.538 2.538 4.976 Pm
0.589 4.680 10.343 Pm
4.590 0.499 3.242 Pm
3.315 -0.776 6.652 Dy
-0.776 3.315 6.764 Dy
-0.776 3.315 18.278 Dy
3.315 -0.776 18.166 Dy
3.315 -0.776 24.915 Y
-0.776 3.315 0.015 Y